Material: YRu2Se
Method: DFT, meta-GGA SCAN
State: PBEsol geometry

Cell lengths 3.4832, 3.8095, 5.7202 Å; angles 90.00, 107.47, 90.00 degrees
Closest atoms and distances in Å follow each position.
Space group Pm (No. 6)
One atom of each set of equivalent atoms:
Y  0.0000  0.0000  0.0000  4 Ru 2.74-3.01, 4 Se 2.90-2.96
Ru  0.5212  0.0000  0.4655  2 Ru 2.40, 2 Se 2.65
Ru  0.8384  0.5000  0.3474  2 Ru 2.40, 1 Se 2.45
Se  0.3591  0.5000  0.7446  3 Ru 2.45-2.65

- Formation energy from raw total energies: -0.258 eV/atom
- Fermi-level density of states: 0.7765 states/eV/atom